1.
DFT (PBE-GGA) results for a relaxed Pd2SeCl3 crystal.

POSCAR file:
```
Pd2SeCl3
1.0
9.4964 -1.7858 0.0000
9.4964 1.7858 0.0000
-1.8274 0.0000 9.0186
Pd Se Cl
4 2 6
Cartesian
1.3095 0.0000 0.8688
5.4422 0.0000 4.9567
11.7231 0.0000 4.0618
15.8558 0.0000 8.1498
7.1536 0.0000 6.7324
10.0117 0.0000 2.2862
0.9171 0.0000 5.1080
3.7193 0.0000 3.0458
7.2989 0.0000 0.5073
9.8664 0.0000 8.5112
13.4460 0.0000 5.9728
16.2482 0.0000 3.9106
```

Values from the calculation:
**N(E_F)**: 0.033 states/eV/atom
**M_tot**: 2.00 μB/cell
**Space group**: C2/m, No. 12
**Theoretical density**: 4.32 Mg/m³
**Formation energy without anion corrections**: -0.386 eV/atom
**Energy above the most stable polymorph in this dataset**: 0.000 eV per formula unit

2.
DFT (PBE-GGA) results for a relaxed PdSe4Cl crystal.

POSCAR file:
```
PdSe4Cl
1.0
4.4123 0.0000 0.0000
0.0000 10.2937 0.0000
-0.0880 0.0000 6.8944
Pd Se Cl
2 8 2
Cartesian
-0.0220 0.9955 1.7236
-0.0660 9.2982 5.1708
1.3201 3.1012 2.5013
1.2761 7.1925 5.9485
1.2763 0.7734 6.5046
1.3203 9.5203 3.0573
3.0039 0.7734 3.8371
3.0479 9.5203 0.3899
3.0482 3.1012 0.9459
3.0042 7.1925 4.3931
2.1401 3.7549 5.1708
2.1841 6.5388 1.7236
```

Values from the calculation:
**N(E_F)**: 0.532 states/eV/atom
**M_tot**: 0.00 μB/cell
**Space group**: P2/c, No. 13
**Theoretical density**: 4.85 Mg/m³
**Formation energy without anion corrections**: -0.076 eV/atom

3.
DFT (PBE-GGA) results for a relaxed PdSe2Cl2 crystal.

POSCAR file:
```
PdSe2Cl2
1.0
6.4426 0.0000 0.0000
0.0000 6.4426 0.0000
0.0000 0.0000 6.5402
Pd Se Cl
2 4 4
Cartesian
0.0000 0.0000 0.0000
3.2213 3.2213 0.0000
0.7747 2.4466 3.2701
2.4466 5.6679 3.2701
3.9960 0.7747 3.2701
5.6679 3.9960 3.2701
1.1467 2.0746 0.0000
2.0746 5.2959 0.0000
4.3680 1.1467 0.0000
5.2959 4.3680 0.0000
```

Values from the calculation:
**N(E_F)**: 0.974 states/eV/atom
**M_tot**: 0.00 μB/cell
**Space group**: P4/mbm, No. 127
**Theoretical density**: 4.10 Mg/m³
**Formation energy without anion corrections**: 0.017 eV/atom
**Energy above the most stable polymorph in this dataset**: 1.789 eV per formula unit

4.
DFT (PBE-GGA) results for a relaxed Pd3SeCl crystal.

POSCAR file:
```
Pd3SeCl
1.0
4.7597 0.0000 0.0000
0.0000 4.7597 0.0000
0.0000 0.0000 4.7597
Pd Se Cl
3 1 1
Cartesian
0.0000 0.0000 2.3799
0.0000 2.3799 0.0000
2.3799 0.0000 0.0000
0.0000 0.0000 0.0000
2.3799 2.3799 2.3799
```

Values from the calculation:
**N(E_F)**: 0.845 states/eV/atom
**M_tot**: 0.00 μB/cell
**Space group**: Pm-3m, No. 221
**Theoretical density**: 6.68 Mg/m³
**Formation energy without anion corrections**: 0.216 eV/atom
**Energy above the most stable polymorph in this dataset**: 0.000 eV per formula unit

5.
DFT (PBE-GGA) results for a relaxed PdSe6Cl2 crystal.

POSCAR file:
```
PdSe6Cl2
1.0
4.9725 0.0000 0.0000
0.0000 8.6037 0.0000
-2.7114 0.0000 12.7583
Pd Se Cl
2 12 4
Cartesian
0.0000 0.0000 0.0000
-1.3557 4.3019 6.3792
-1.7325 1.1272 8.1930
-0.3768 3.1746 1.8138
-0.5429 1.9995 6.2671
-1.8986 2.3024 12.6463
0.5191 5.3468 1.9026
-0.8366 7.5588 8.2818
3.0977 1.0450 4.4766
1.7420 3.2569 10.8557
4.1597 6.3013 0.1120
2.8040 6.6043 6.4912
2.6379 5.4291 10.9445
3.9936 7.4765 4.5654
-0.0055 4.6120 8.2488
1.3502 8.2936 1.8697
0.9109 0.3101 10.8887
2.2666 3.9917 4.5095
```

Values from the calculation:
**M_tot**: 0.00 μB/cell
**Space group**: P2_1/c, No. 14
**Theoretical density**: 3.96 Mg/m³
**Formation energy without anion corrections**: -0.196 eV/atom

6.
DFT (PBE-GGA) results for a relaxed PdSeCl3 crystal.

POSCAR file:
```
PdSeCl3
1.0
4.9218 0.0000 0.0000
0.0000 4.9218 0.0000
0.0000 0.0000 4.9218
Pd Se Cl
1 1 3
Cartesian
0.0000 0.0000 0.0000
2.4609 2.4609 2.4609
0.0000 0.0000 2.4609
0.0000 2.4609 0.0000
2.4609 0.0000 0.0000
```

Values from the calculation:
**N(E_F)**: 0.363 states/eV/atom
**M_tot**: 2.92 μB/cell
**Space group**: Pm-3m, No. 221
**Theoretical density**: 4.06 Mg/m³
**Formation energy without anion corrections**: 0.140 eV/atom
**Energy above the most stable polymorph in this dataset**: 2.118 eV per formula unit

7.
DFT (PBE-GGA) results for a relaxed Pd2Se3Cl crystal.

POSCAR file:
```
Pd2Se3Cl
1.0
6.5820 -3.7813 0.0000
6.5820 3.7813 0.0000
-2.9143 0.0000 5.6105
Pd Se Cl
4 6 2
Cartesian
0.0000 0.0000 0.0000
1.8339 1.8906 2.8053
1.8339 -1.8906 2.8053
6.5820 0.0000 0.0000
4.0649 1.9592 4.0237
6.1849 1.9592 1.5868
1.3990 0.0000 4.4881
8.8507 0.0000 1.1224
4.0649 -1.9592 4.0237
6.1849 -1.9592 1.5868
2.7840 0.0000 1.5372
7.4657 0.0000 4.0733
```

Values from the calculation:
**N(E_F)**: 0.449 states/eV/atom
**M_tot**: 0.00 μB/cell
**Space group**: C2/m, No. 12
**Theoretical density**: 5.77 Mg/m³
**Formation energy without anion corrections**: -0.228 eV/atom

8.
DFT (PBE-GGA) results for a relaxed Pd3Se3Cl crystal.

POSCAR file:
```
Pd3Se3Cl
1.0
7.9239 0.0000 0.0000
-3.9619 6.8623 0.0000
0.0000 0.0000 5.2575
Pd Se Cl
6 6 2
Cartesian
-1.2110 2.4512 1.3144
-1.2337 6.6854 1.3144
1.5173 2.2743 3.9431
2.4446 4.5880 1.3144
5.1956 0.1769 3.9431
5.1729 4.4111 3.9431
-0.9305 2.2755 3.9431
-1.5260 6.5304 3.9431
1.5054 1.9436 1.3144
2.4565 4.9187 3.9431
5.4879 0.3319 1.3144
4.8925 4.5868 1.3144
0.0000 4.5749 1.3144
3.9619 2.2874 3.9431
```

Values from the calculation:
**N(E_F)**: 0.359 states/eV/atom
**M_tot**: 0.00 μB/cell
**Space group**: P6_3/m, No. 176
**Theoretical density**: 6.87 Mg/m³
**Formation energy without anion corrections**: -0.200 eV/atom

9.
DFT (PBE-GGA) results for a relaxed PdSeCl3 crystal.

POSCAR file:
```
PdSeCl3
1.0
3.6441 -6.7917 0.0000
3.6441 6.7917 0.0000
-0.4952 0.0000 11.8975
Pd Se Cl
4 4 12
Cartesian
2.7281 5.5853 10.5527
3.8173 5.5853 7.2935
2.9757 -5.5853 4.6040
4.0649 -5.5853 1.3448
3.1898 3.0873 7.8378
3.3555 3.0873 10.0084
3.4374 -3.0873 1.8891
3.6031 -3.0873 4.0597
2.7813 5.3124 5.2183
1.4056 0.7578 3.4640
4.2592 5.3124 0.7305
2.4902 1.6301 0.4493
1.1580 -0.7578 9.4128
2.2427 -1.6301 6.3980
4.5503 1.6301 5.4995
5.6350 0.7578 2.4847
4.3027 -1.6301 11.4482
2.5338 -5.3124 11.1670
5.3874 -0.7578 8.4335
4.0116 -5.3124 6.6792
```

Values from the calculation:
**N(E_F)**: 0.258 states/eV/atom
**M_tot**: 0.00 μB/cell
**Space group**: C2/c, No. 15
**Theoretical density**: 3.29 Mg/m³
**Formation energy without anion corrections**: -0.283 eV/atom
**Energy above the most stable polymorph in this dataset**: 0.000 eV per formula unit

10.
DFT (PBE-GGA) results for a relaxed PdSe2Cl2 crystal.

POSCAR file:
```
PdSe2Cl2
1.0
-1.7768 1.7768 10.3728
1.7768 -1.7768 10.3728
1.7768 1.7768 -10.3728
Pd Se Cl
1 2 2
Cartesian
0.0000 0.0000 0.0000
1.7768 0.0000 5.1864
0.0000 1.7768 5.1864
0.0000 0.0000 8.8779
0.0000 0.0000 11.8678
```

Values from the calculation:
**N(E_F)**: 0.696 states/eV/atom
**M_tot**: 1.80 μB/cell
**Space group**: I4/mmm, No. 139
**Theoretical density**: 4.25 Mg/m³
**Formation energy without anion corrections**: 0.248 eV/atom
**Energy above the most stable polymorph in this dataset**: 2.946 eV per formula unit

11.
DFT (PBE-GGA) results for a relaxed Sm3PdSeCl crystal.

POSCAR file:
```
Sm3PdSeCl
1.0
8.3516 0.0000 0.0000
0.0000 4.0701 0.0000
-2.2596 0.0000 9.2515
Sm Pd Se Cl
6 2 2 2
Cartesian
-0.1492 1.0175 3.1149
-0.4392 1.0175 9.1792
1.9757 3.0526 5.6391
4.1163 1.0175 3.6124
6.5312 3.0526 0.0724
6.2412 3.0526 6.1366
-0.0945 1.0175 6.0079
6.1865 3.0526 3.2436
2.0329 3.0526 2.4116
4.0591 1.0175 6.8400
1.3060 3.0526 8.2907
4.7860 1.0175 0.9608
```

Values from the calculation:
**N(E_F)**: 0.656 states/eV/atom
**M_tot**: 0.00 μB/cell
**Space group**: P2_1/m, No. 11
**Theoretical density**: 7.10 Mg/m³
**Formation energy without anion corrections**: -1.164 eV/atom

12.
DFT (PBE-GGA) results for a relaxed TlPdSeCl6 crystal.

POSCAR file:
```
TlPdSeCl6
1.0
4.1169 -5.5455 0.0000
4.1169 5.5455 0.0000
-1.2953 0.0000 6.4603
Tl Pd Se Cl
1 1 1 6
Cartesian
0.0000 0.0000 0.0000
3.4692 2.2407 3.2302
3.4692 -1.5080 3.2302
0.3677 -1.6965 4.5285
2.6731 0.5663 1.7987
4.2653 0.5663 4.6616
2.6016 -2.9655 1.7496
4.3368 -2.9655 4.7107
6.5707 -1.6965 1.9319
```

Values from the calculation:
**N(E_F)**: 0.302 states/eV/atom
**M_tot**: 0.97 μB/cell
**Space group**: C2, No. 5
**Theoretical density**: 3.39 Mg/m³
**Formation energy without anion corrections**: -0.484 eV/atom

13.
DFT (PBE-GGA) results for a relaxed Y4PdSe2Cl crystal.

POSCAR file:
```
Y4PdSe2Cl
1.0
7.1208 0.0000 0.0000
0.0000 3.9594 0.0000
-2.2689 0.0000 6.8497
Y Pd Se Cl
4 1 2 1
Cartesian
1.1261 0.0000 1.6410
0.0130 1.9797 5.1039
4.8389 1.9797 1.7458
3.7258 0.0000 5.2087
0.0000 1.9797 0.0000
-1.1345 0.0000 3.4249
2.4259 1.9797 3.4249
3.5604 0.0000 0.0000
```

Values from the calculation:
**N(E_F)**: 0.602 states/eV/atom
**M_tot**: 0.00 μB/cell
**Space group**: P2/m, No. 10
**Theoretical density**: 5.64 Mg/m³
**Formation energy without anion corrections**: -1.405 eV/atom

14.
DFT (PBE-GGA) results for a relaxed Si3PdCl crystal.

POSCAR file:
```
Si3PdCl
1.0
4.6085 0.0000 0.0000
0.0000 4.6085 0.0000
0.0000 0.0000 4.6085
Si Pd Cl
3 1 1
Cartesian
0.0000 0.0000 2.3042
0.0000 2.3042 0.0000
2.3042 0.0000 0.0000
2.3042 2.3042 2.3042
0.0000 0.0000 0.0000
```

Values from the calculation:
**N(E_F)**: 0.629 states/eV/atom
**M_tot**: 0.00 μB/cell
**Space group**: Pm-3m, No. 221
**Theoretical density**: 3.84 Mg/m³
**Formation energy without anion corrections**: 1.156 eV/atom
**Energy above the most stable polymorph in this dataset**: 3.212 eV per formula unit

15.
DFT (PBE-GGA) results for a relaxed Si3PdCl crystal.

POSCAR file:
```
Si3PdCl
1.0
4.7638 0.0000 0.0000
0.0000 4.7638 0.0000
0.0000 0.0000 4.7638
Si Pd Cl
3 1 1
Cartesian
0.0000 0.0000 2.3819
0.0000 2.3819 0.0000
2.3819 0.0000 0.0000
0.0000 0.0000 0.0000
2.3819 2.3819 2.3819
```

Values from the calculation:
**N(E_F)**: 0.669 states/eV/atom
**M_tot**: 0.00 μB/cell
**Space group**: Pm-3m, No. 221
**Theoretical density**: 3.47 Mg/m³
**Formation energy without anion corrections**: 0.514 eV/atom
**Energy above the most stable polymorph in this dataset**: 0.000 eV per formula unit

16.
DFT (PBE-GGA) results for a relaxed SiPdCl2 crystal.

POSCAR file:
```
SiPdCl2
1.0
-2.2663 2.2663 8.0782
2.2663 -2.2663 8.0782
2.2663 2.2663 -8.0782
Si Pd Cl
2 2 4
Cartesian
0.0000 0.0000 0.0000
0.0000 2.2663 4.0391
2.2663 0.0000 4.0391
0.0000 0.0000 8.0782
1.1331 -1.1249 6.0586
1.1414 1.1331 2.0195
1.1331 3.3911 -2.0195
1.1249 1.1331 10.0977
```

Values from the calculation:
**N(E_F)**: 0.000 states/eV/atom
**M_tot**: 0.00 μB/cell
**Space group**: I-42d, No. 122
**Theoretical density**: 4.11 Mg/m³
**Formation energy without anion corrections**: 0.097 eV/atom
**Energy above the most stable polymorph in this dataset**: 0.072 eV per formula unit

17.
DFT (PBE-GGA) results for a relaxed SiPdCl2 crystal.

POSCAR file:
```
SiPdCl2
1.0
1.6596 0.9582 8.4728
-1.6596 0.9582 8.4728
0.0000 -1.9164 8.4728
Si Pd Cl
1 1 2
Cartesian
0.0000 0.0000 0.0000
0.0000 0.0000 12.7092
0.0000 0.0000 10.3726
0.0000 0.0000 15.0458
```

Values from the calculation:
**N(E_F)**: 0.033 states/eV/atom
**M_tot**: 0.00 μB/cell
**Space group**: R-3m, No. 166
**Theoretical density**: 4.22 Mg/m³
**Formation energy without anion corrections**: 0.079 eV/atom
**Energy above the most stable polymorph in this dataset**: 0.000 eV per formula unit

18.
DFT (PBE-GGA) results for a relaxed SiPdCl2 crystal.

POSCAR file:
```
SiPdCl2
1.0
0.0000 3.3034 3.3034
3.3034 0.0000 3.3034
3.3034 3.3034 0.0000
Si Pd Cl
1 1 2
Cartesian
0.0000 0.0000 0.0000
3.3034 3.3034 3.3034
1.6517 1.6517 1.6517
4.9550 4.9550 4.9550
```

Values from the calculation:
**N(E_F)**: 0.000 states/eV/atom
**M_tot**: 0.00 μB/cell
**Space group**: Fm-3m, No. 225
**Theoretical density**: 4.73 Mg/m³
**Formation energy without anion corrections**: 0.193 eV/atom
**Energy above the most stable polymorph in this dataset**: 0.457 eV per formula unit

19.
DFT (PBE-GGA) results for a relaxed Si2PdCl crystal.

POSCAR file:
```
Si2PdCl
1.0
-2.8213 2.8213 6.0935
2.8213 -2.8213 6.0935
2.8213 2.8213 -6.0935
Si Pd Cl
4 2 2
Cartesian
4.2319 0.9933 -1.5234
0.9933 1.4106 1.5234
-1.4106 1.8280 4.5701
1.8280 1.4106 7.6169
0.0000 0.0000 0.0000
0.0000 2.8213 3.0467
2.8213 0.0000 3.0467
0.0000 0.0000 6.0935
```

Values from the calculation:
**N(E_F)**: 0.616 states/eV/atom
**M_tot**: 0.00 μB/cell
**Space group**: I-42d, No. 122
**Theoretical density**: 3.39 Mg/m³
**Formation energy without anion corrections**: 0.160 eV/atom
**Energy above the most stable polymorph in this dataset**: 0.000 eV per formula unit

20.
DFT (PBE-GGA) results for a relaxed Si2PdCl crystal.

POSCAR file:
```
Si2PdCl
1.0
0.0000 3.2118 3.2118
3.2118 0.0000 3.2118
3.2118 3.2118 0.0000
Si Pd Cl
2 1 1
Cartesian
1.6059 1.6059 1.6059
4.8178 4.8178 4.8178
0.0000 0.0000 0.0000
3.2118 3.2118 3.2118
```

Values from the calculation:
**N(E_F)**: 0.617 states/eV/atom
**M_tot**: 0.00 μB/cell
**Space group**: Fm-3m, No. 225
**Theoretical density**: 4.96 Mg/m³
**Formation energy without anion corrections**: 0.381 eV/atom
**Energy above the most stable polymorph in this dataset**: 0.885 eV per formula unit

21.
DFT (PBE-GGA) results for a relaxed SiPdCl3 crystal.

POSCAR file:
```
SiPdCl3
1.0
4.8481 0.0000 0.0000
0.0000 4.8481 0.0000
0.0000 0.0000 4.8481
Si Pd Cl
1 1 3
Cartesian
0.0000 0.0000 0.0000
2.4240 2.4240 2.4240
0.0000 0.0000 2.4240
0.0000 2.4240 0.0000
2.4240 0.0000 0.0000
```

Values from the calculation:
**N(E_F)**: 3.196 states/eV/atom
**M_tot**: 0.48 μB/cell
**Space group**: Pm-3m, No. 221
**Theoretical density**: 3.51 Mg/m³
**Formation energy without anion corrections**: -0.001 eV/atom
**Energy above the most stable polymorph in this dataset**: 0.000 eV per formula unit

22.
DFT (PBE-GGA) results for a relaxed SiPdCl2 crystal.

POSCAR file:
```
SiPdCl2
1.0
1.6435 0.9489 8.3714
-1.6435 0.9489 8.3714
0.0000 -1.8978 8.3714
Si Pd Cl
1 1 2
Cartesian
0.0000 0.0000 0.0000
0.0000 0.0000 12.5571
0.0000 0.0000 2.3109
0.0000 0.0000 22.8034
```

Values from the calculation:
**N(E_F)**: 0.574 states/eV/atom
**M_tot**: 0.00 μB/cell
**Space group**: R-3m, No. 166
**Theoretical density**: 4.35 Mg/m³
**Formation energy without anion corrections**: 0.176 eV/atom
**Energy above the most stable polymorph in this dataset**: 0.386 eV per formula unit

23.
DFT (PBE-GGA) results for a relaxed TaSiPdCl2 crystal.

POSCAR file:
```
TaSiPdCl2
1.0
4.6633 0.0000 0.0000
0.0000 4.6633 0.0000
0.0000 0.0000 5.2701
Ta Si Pd Cl
1 1 1 2
Cartesian
0.0000 0.0000 0.0000
0.0000 0.0000 2.6351
2.3316 2.3316 2.6351
0.0000 2.3316 0.0000
2.3316 0.0000 0.0000
```

Values from the calculation:
**N(E_F)**: 1.200 states/eV/atom
**M_tot**: 0.22 μB/cell
**Space group**: P4/mmm, No. 123
**Theoretical density**: 5.60 Mg/m³
**Formation energy without anion corrections**: 0.343 eV/atom

24.
DFT (PBE-GGA) results for a relaxed SmPdCl crystal.

POSCAR file:
```
SmPdCl
1.0
0.0000 6.6385 4.1391
5.7437 0.0000 4.1391
5.7437 6.6385 0.0000
Sm Pd Cl
4 4 4
Cartesian
6.0641 3.6965 4.1391
8.2952 7.0157 6.2087
5.4233 9.5806 4.1391
8.9360 12.8999 6.2087
8.7516 4.6989 4.4866
5.8797 5.2589 6.5562
5.6078 8.0181 6.5562
2.7359 8.5782 4.4866
6.4069 5.0008 1.6887
5.0806 8.2763 1.6887
7.9524 8.3201 3.7582
3.5350 4.9570 3.7582
```

Values from the calculation:
**N(E_F)**: 0.071 states/eV/atom
**M_tot**: 0.00 μB/cell
**Space group**: Fdd2, No. 43
**Theoretical density**: 6.15 Mg/m³
**Formation energy without anion corrections**: -1.166 eV/atom